Record 1
# PBE La2GaBIr, optimized geometry
data_La2GaBIr
_cell_length_a 5.423
_cell_length_b 5.423
_cell_length_c 4.009
_cell_angle_alpha 90.00
_cell_angle_beta 90.00
_cell_angle_gamma 90.00
_symmetry_space_group_name_H-M 'P 1'
_symmetry_Int_Tables_number 1
loop_
_symmetry_equiv_pos_as_xyz
'x,y,z'
loop_
_atom_site_label
_atom_site_type_symbol
_atom_site_fract_x
_atom_site_fract_y
_atom_site_fract_z
La1 La 0.000 0.500 0.000
La2 La 0.500 0.000 0.000
Ga1 Ga 0.000 0.000 0.500
B1 B 0.500 0.500 0.000
Ir1 Ir 0.500 0.500 0.500
# **Calculated formation energy**: -2.155 eV/f.u.
# **Magnetization**: 0.000 μB per formula unit
# **Total DFT energy (no corrections)**: -30.575 eV for the cell shown

***

Record 2
# PBE LiGaB2Ir4, optimized geometry
data_LiGaB2Ir4
_cell_length_a 7.094
_cell_length_b 7.094
_cell_length_c 8.514
_cell_angle_alpha 90.00
_cell_angle_beta 90.00
_cell_angle_gamma 149.57
_symmetry_space_group_name_H-M 'P 1'
_symmetry_Int_Tables_number 1
loop_
_symmetry_equiv_pos_as_xyz
'x,y,z'
loop_
_atom_site_label
_atom_site_type_symbol
_atom_site_fract_x
_atom_site_fract_y
_atom_site_fract_z
Li1 Li 0.137 0.863 0.750
Li2 Li 0.863 0.137 0.250
Ga1 Ga 0.183 0.817 0.250
Ga2 Ga 0.817 0.183 0.750
B1 B 0.438 0.562 0.094
B2 B 0.438 0.562 0.406
B3 B 0.562 0.438 0.594
B4 B 0.562 0.438 0.906
Ir1 Ir 0.000 0.000 0.000
Ir2 Ir 0.000 0.000 0.500
Ir3 Ir 0.312 0.688 0.514
Ir4 Ir 0.312 0.688 0.986
Ir5 Ir 0.452 0.548 0.750
Ir6 Ir 0.548 0.452 0.250
Ir7 Ir 0.688 0.312 0.014
Ir8 Ir 0.688 0.312 0.486
# **Calculated formation energy**: -1.346 eV/f.u.
# **Magnetization**: 0.000 μB per formula unit
# **Total DFT energy (no corrections)**: -110.171 eV for the cell shown

***

Record 3
# PBE Li3Ga2BIr3, optimized geometry
data_Li3Ga2BIr3
_cell_length_a 6.701
_cell_length_b 6.701
_cell_length_c 2.916
_cell_angle_alpha 90.00
_cell_angle_beta 90.00
_cell_angle_gamma 120.00
_symmetry_space_group_name_H-M 'P 1'
_symmetry_Int_Tables_number 1
loop_
_symmetry_equiv_pos_as_xyz
'x,y,z'
loop_
_atom_site_label
_atom_site_type_symbol
_atom_site_fract_x
_atom_site_fract_y
_atom_site_fract_z
Li1 Li 0.000 0.624 0.000
Li2 Li 0.376 0.376 0.000
Li3 Li 0.624 0.000 0.000
Ga1 Ga 0.333 0.667 0.500
Ga2 Ga 0.667 0.333 0.500
B1 B 0.000 0.000 0.000
Ir1 Ir 0.000 0.252 0.500
Ir2 Ir 0.252 0.000 0.500
Ir3 Ir 0.748 0.748 0.500
# **Calculated formation energy**: -4.128 eV/f.u.
# **Magnetization**: 0.000 μB per formula unit
# **Total DFT energy (no corrections)**: -49.183 eV for the cell shown